The following is a DFT calculation (PBE) of a relaxed structure of In2BrF.

Unit cell a=5.3117 b=5.3117 c=5.3117 alpha=60.00 beta=60.00 gamma=60.00
Closest atoms and distances in Å follow each position.
Fractional coordinates of all 4 atoms:
F1 0.0000 0.0000 0.0000  8 In 3.25
Br1 0.5000 0.5000 0.5000  8 In 3.25
In1 0.2500 0.2500 0.2500  4 Br 3.25, 4 F 3.25
In2 0.7500 0.7500 0.7500  4 Br 3.25, 4 F 3.25

Output
The relative energy among the computed polymorphs comes out at 215.8 meV per atom. The calculation puts the energy relative to the elements, uncorrected at -0.922 eV/atom. The space group is Fm-3m (225). The size of the total moment comes out at 0.0 μB/f.u. Its uncorrected energy is -3.18 eV/atom.